Entry from Alexandria: an optimized crystal structure of Rb2TlPb2F7 (GGA-PBE).

Calculated values
**Energy relative to the elements, uncorrected**: -28.16 eV per formula unit
**Size of the total moment**: 0.000 μB/atom
**Total DFT energy (no corrections)**: -4.42 eV per atom

Lattice parameters (Å, degrees): 4.7992 4.7992 12.6276 79.55 79.55 97.29
Sites, in units of the cell vectors:
Rb (0.8051, 0.8051, 0.3764)
Rb (0.1949, 0.1949, 0.6236)
Tl (0.0000, 0.0000, 0.0000)
Pb (0.5948, 0.5948, 0.7993)
Pb (0.4052, 0.4052, 0.2007)
F (0.5000, 0.5000, 0.0000)
F (0.3204, 0.3204, 0.4006)
F (0.6796, 0.6796, 0.5994)
F (0.9054, 0.5037, 0.1951)
F (0.5037, 0.9054, 0.1951)
F (0.4963, 0.0946, 0.8049)
F (0.0946, 0.4963, 0.8049)